First-principles (PBE-GGA) data for crystalline ZrAs2SO at its relaxed geometry, as listed in the Alexandria database.

* E_form (uncorrected): -31 meV per atom
* Fermi-level density of states: 1.40 states/eV per cell
* magnetization: 0.000 μB/atom

Unit cell a=4.9878 b=4.9878 c=3.4752 alpha=90.00 beta=90.00 gamma=90.00
With the nearest neighbours (Å) after each atom.
Fractional positions:
Zr (0.0000, 0.0000, 0.0000)  8 As 3.04
As (0.0000, 0.5000, 0.5000)  2 S 2.49
As (0.5000, 0.0000, 0.5000)  2 S 2.49
S (0.5000, 0.5000, 0.5000)  2 O 1.74
O (0.5000, 0.5000, 0.0000)  2 S 1.74